Material: Ba2Al2Ga
Method: DFT, PBE
State: relaxed

Unit cell a=4.5304 b=6.9114 c=11.4995 alpha=77.95 beta=78.64 gamma=70.87
Sites, in units of the cell vectors:
Ga1 0.4475 0.7925 0.3126
Ga2 0.5525 0.2075 0.6874
Ba1 0.1180 0.6617 0.1022
Ba2 0.8820 0.3383 0.8978
Ba3 0.2856 0.7866 0.6422
Ba4 0.7144 0.2134 0.3578
Al1 0.5927 0.9280 0.8866
Al2 0.4073 0.0720 0.1134
Al3 0.0319 0.3455 0.5906
Al4 0.9681 0.6545 0.4094

Summary:
spin magnetization	0.000	μB per atom
symmetry	C2/m, No. 12
E_tot	-0.1144	hartree per atom
formation enthalpy at 0 K	-0.24	eV per atom
relative energy among the computed polymorphs	0.0	meV/atom